1.
VASP calculation (PBE-GGA) on an optimized crystal structure of KPtBr.

abc: 9.529 4.625 9.152
angles: 90.00 90.00 90.00
Space group Pnma (No. 62)
Inequivalent atoms, fractional coordinates:
K1 0.229 0.250 0.003 (multiplicity 4)
Pt1 0.040 0.750 0.773 (multiplicity 4)
Br1 0.028 0.250 0.700 (multiplicity 4)

Energy relative to the elements, uncorrected ... -361 meV per atom
Excess energy over the best structure of this formula in the dataset ... 310 meV per atom
Crystal system ... orthorhombic

=====

2.
VASP calculation (PBE-GGA) on an optimized crystal structure of KZnCd2Hg4.

abc: 5.1500 5.1500 27.8846
angles: 90.00 90.00 120.00
Space group R-3m (No. 166, hexagonal axes)
Inequivalent atoms, fractional coordinates:
K1 0.0000 0.0000 0.0000 (multiplicity 3)
Zn1 0.0000 0.0000 0.5000 (multiplicity 3)
Cd1 0.0000 0.0000 0.2488 (multiplicity 6)
Hg1 0.0000 0.0000 0.1354 (multiplicity 6)
Hg2 0.0000 0.0000 0.3972 (multiplicity 6)

Calculated formation energy ... -0.044 eV/atom
Crystal system ... trigonal

=====

3.
VASP calculation (PBE-GGA) on an optimized crystal structure of Ho4GaGe3.

abc: 3.962 4.282 10.726
angles: 90.00 90.00 90.00
Space group Pmm2 (No. 25)
Inequivalent atoms, fractional coordinates:
Ho1 0.000 0.000 0.000 (multiplicity 1)
Ho2 0.000 0.500 0.499 (multiplicity 1)
Ho3 0.500 0.000 0.721 (multiplicity 1)
Ho4 0.500 0.500 0.221 (multiplicity 1)
Ga1 0.000 0.500 0.780 (multiplicity 1)
Ge1 0.000 0.000 0.275 (multiplicity 1)
Ge2 0.500 0.000 0.445 (multiplicity 1)
Ge3 0.500 0.500 0.942 (multiplicity 1)

Calculated formation energy ... -0.829 eV/atom
Crystal system ... orthorhombic

=====

Spin magnetization: 0.00, 0.00, 0.00 (μB/atom)